A:
{"formula": "Be2AsP", "functional": "GGA-PBE", "state": "optimized geometry", "dos_ef_per_ev_atom": 0.27, "m_tot_mub_per_atom": 0.00, "lattice": [[-2.245, -1.082, 2.228], [0.919, -0.630, 3.151], [-1.574, 4.643, 3.115]], "species": ["Be", "As", "Be", "P"], "fractional_positions": [[0.484, 0.484, 0.545], [0.250, 0.250, 0.250], [0.016, 0.016, 0.955], [0.750, 0.750, 0.750]]}



B:
{"formula": "Be2AsP", "functional": "GGA-PBE", "state": "optimized geometry", "dos_ef_per_ev_atom": 0.24, "m_tot_mub_per_atom": 0.00, "lattice": [[-0.527, 1.353, -2.183], [0.905, -2.235, -1.029], [-7.918, -3.180, -0.060]], "species": ["Be", "P", "As", "Be"], "fractional_positions": [[0.000, 0.000, 0.037], [0.000, 0.000, 0.410], [0.500, 0.500, 0.825], [0.500, 0.500, 0.228]]}



Stability, highest: A



A:
{"formula": "Be2AsP", "functional": "GGA-PBE", "state": "optimized geometry", "dos_ef_per_ev_atom": 0.42, "m_tot_mub_per_atom": 0.00, "lattice": [[3.345, 0.000, 0.000], [0.000, 4.770, 0.000], [0.000, 0.000, 3.318]], "species": ["P", "As", "Be", "Be"], "fractional_positions": [[0.500, 0.000, 0.500], [0.000, 0.500, 0.500], [0.500, 0.500, 0.000], [0.000, 0.000, 0.000]]}



B:
{"formula": "Be2AsP", "functional": "GGA-PBE", "state": "optimized geometry", "dos_ef_per_ev_atom": 0.36, "m_tot_mub_per_atom": 0.00, "lattice": [[4.473, -0.005, 0.019], [0.610, 4.431, -0.019], [-1.816, -3.046, 2.726]], "species": ["P", "As", "Be", "Be"], "fractional_positions": [[0.250, 0.750, 0.500], [0.750, 0.250, 0.500], [0.025, 0.025, 0.000], [0.475, 0.475, 0.000]]}



Stability, highest: B



A:
{"formula": "BeAs3P", "functional": "GGA-PBE", "state": "optimized geometry", "dos_ef_per_ev_atom": 0.80, "m_tot_mub_per_atom": 0.00, "lattice": [[4.471, 0.000, 0.000], [0.000, 4.471, 0.000], [0.000, 0.000, 4.471]], "species": ["As", "P", "As", "Be", "As"], "fractional_positions": [[0.000, 0.500, 0.000], [0.500, 0.500, 0.500], [0.000, 0.000, 0.500], [0.000, 0.000, 0.000], [0.500, 0.000, 0.000]]}



B:
{"formula": "BeAs3P", "functional": "GGA-PBE", "state": "optimized geometry", "dos_ef_per_ev_atom": 1.10, "m_tot_mub_per_atom": 0.00, "lattice": [[-4.649, 0.168, 0.940], [0.397, -3.909, 2.662], [0.869, 2.687, 3.815]], "species": ["As", "P", "Be", "As", "As"], "fractional_positions": [[0.000, 0.500, 0.000], [0.000, 0.000, 0.000], [0.500, 0.500, 0.500], [0.500, 0.000, 0.000], [0.000, 0.000, 0.500]]}



Stability, highest: A



A:
{"formula": "BeAsP2S", "functional": "GGA-PBE", "state": "optimized geometry", "dos_ef_per_ev_atom": 1.00, "m_tot_mub_per_atom": 0.00, "lattice": [[-1.131, -4.394, 1.024], [4.491, -1.196, -0.175], [0.442, 0.975, 4.671]], "species": ["P", "S", "P", "As", "Be"], "fractional_positions": [[0.500, 0.000, 0.000], [0.000, 0.000, 0.500], [0.000, 0.500, 0.000], [0.000, 0.000, 0.000], [0.500, 0.500, 0.500]]}



B:
{"formula": "BeAsP2S", "functional": "GGA-PBE", "state": "optimized geometry", "dos_ef_per_ev_atom": 0.72, "m_tot_mub_per_atom": 0.00, "lattice": [[-0.793, 2.504, 3.363], [-4.135, 0.097, -1.048], [-0.711, -3.551, 2.476]], "species": ["P", "S", "As", "P", "Be"], "fractional_positions": [[0.500, 0.000, 0.000], [0.000, 0.000, 0.500], [0.500, 0.500, 0.500], [0.000, 0.500, 0.000], [0.000, 0.000, 0.000]]}



Stability, highest: B



A:
{"formula": "BeAsPS2", "functional": "GGA-PBE", "state": "optimized geometry", "dos_ef_per_ev_atom": 0.64, "m_tot_mub_per_atom": 0.00, "lattice": [[4.278, 0.000, 0.000], [0.000, 4.278, 0.000], [0.000, 0.000, 4.381]], "species": ["S", "As", "Be", "P", "S"], "fractional_positions": [[0.500, 0.000, 0.000], [0.500, 0.500, 0.500], [0.000, 0.000, 0.000], [0.000, 0.000, 0.500], [0.000, 0.500, 0.000]]}



B:
{"formula": "BeAsPS2", "functional": "GGA-PBE", "state": "optimized geometry", "dos_ef_per_ev_atom": 1.15, "m_tot_mub_per_atom": 0.00, "lattice": [[-4.569, -0.843, 0.361], [0.841, -3.114, 3.364], [-0.377, 3.449, 3.286]], "species": ["S", "Be", "P", "S", "As"], "fractional_positions": [[0.000, 0.500, 0.000], [0.500, 0.500, 0.500], [0.000, 0.000, 0.500], [0.500, 0.000, 0.000], [0.000, 0.000, 0.000]]}



Stability, highest: A



A:
{"formula": "BeAsPSe2", "functional": "GGA-PBE", "state": "optimized geometry", "dos_ef_per_ev_atom": 1.16, "m_tot_mub_per_atom": 0.00, "lattice": [[-2.247, 3.754, 2.166], [-3.704, -2.931, 1.237], [2.133, -1.018, 3.978]], "species": ["Be", "P", "Se", "As", "Se"], "fractional_positions": [[0.500, 0.500, 0.500], [0.000, 0.000, 0.000], [0.000, 0.500, 0.000], [0.000, 0.000, 0.500], [0.500, 0.000, 0.000]]}



B:
{"formula": "BeAsPSe2", "functional": "GGA-PBE", "state": "optimized geometry", "dos_ef_per_ev_atom": 0.81, "m_tot_mub_per_atom": 0.00, "lattice": [[4.497, 0.000, 0.000], [0.000, 4.497, 0.000], [0.000, 0.000, 4.547]], "species": ["P", "As", "Be", "Se", "Se"], "fractional_positions": [[0.500, 0.500, 0.500], [0.000, 0.000, 0.500], [0.000, 0.000, 0.000], [0.000, 0.500, 0.000], [0.500, 0.000, 0.000]]}



Stability, highest: B



A:
{"formula": "BeAs2PSe", "functional": "GGA-PBE", "state": "optimized geometry", "dos_ef_per_ev_atom": 0.77, "m_tot_mub_per_atom": 0.00, "lattice": [[-3.857, 1.295, 2.283], [-2.577, -2.642, -2.855], [0.530, -3.837, 3.073]], "species": ["Be", "As", "P", "As", "Se"], "fractional_positions": [[0.500, 0.500, 0.500], [0.500, 0.000, 0.000], [0.000, 0.000, 0.000], [0.000, 0.500, 0.000], [0.000, 0.000, 0.500]]}



B:
{"formula": "BeAs2PSe", "functional": "GGA-PBE", "state": "optimized geometry", "dos_ef_per_ev_atom": 0.59, "m_tot_mub_per_atom": 0.00, "lattice": [[4.444, 0.000, 0.000], [0.000, 4.444, 0.000], [0.000, 0.000, 4.600]], "species": ["Be", "As", "As", "P", "Se"], "fractional_positions": [[0.000, 0.000, 0.000], [0.000, 0.500, 0.000], [0.500, 0.000, 0.000], [0.500, 0.500, 0.500], [0.000, 0.000, 0.500]]}



Stability, highest: B



A:
{"formula": "Be2As2Pb", "functional": "GGA-PBE", "state": "optimized geometry", "dos_ef_per_ev_atom": 0.23, "m_tot_mub_per_atom": 0.00, "lattice": [[3.542, 0.000, 0.000], [0.000, 3.542, 0.000], [0.000, 0.000, 7.387]], "species": ["Pb", "As", "As", "Be", "Be"], "fractional_positions": [[0.000, 0.000, 0.000], [0.500, 0.500, 0.291], [0.500, 0.500, 0.709], [0.500, 0.000, 0.500], [0.000, 0.500, 0.500]]}



B:
{"formula": "Be2As2Pb", "functional": "GGA-PBE", "state": "optimized geometry", "dos_ef_per_ev_atom": 0.36, "m_tot_mub_per_atom": 0.00, "lattice": [[-2.708, -2.359, 0.901], [-0.828, -0.419, -3.585], [2.610, -6.571, -1.748]], "species": ["As", "Pb", "Be", "As", "Be"], "fractional_positions": [[0.647, 0.647, 0.706], [0.000, 0.000, 0.000], [0.750, 0.250, 0.500], [0.353, 0.353, 0.294], [0.250, 0.750, 0.500]]}



Stability, highest: B



A:
{"formula": "Be3AsPb", "functional": "GGA-PBE", "state": "optimized geometry", "dos_ef_per_ev_atom": 0.94, "m_tot_mub_per_atom": 0.00, "lattice": [[4.640, 0.000, 0.000], [0.000, 4.640, 0.000], [0.000, 0.000, 4.640]], "species": ["Be", "As", "Be", "Pb", "Be"], "fractional_positions": [[0.500, 0.000, 0.000], [0.500, 0.500, 0.500], [0.000, 0.500, 0.000], [0.000, 0.000, 0.000], [0.000, 0.000, 0.500]]}



B:
{"formula": "Be3AsPb", "functional": "GGA-PBE", "state": "optimized geometry", "dos_ef_per_ev_atom": 0.60, "m_tot_mub_per_atom": 0.00, "lattice": [[4.429, 0.000, 0.000], [0.000, 4.429, 0.000], [0.000, 0.000, 4.429]], "species": ["Pb", "Be", "Be", "As", "Be"], "fractional_positions": [[0.500, 0.500, 0.500], [0.500, 0.000, 0.000], [0.000, 0.000, 0.500], [0.000, 0.000, 0.000], [0.000, 0.500, 0.000]]}



Stability, highest: B



A:
{"formula": "BeAs3Pd", "functional": "GGA-PBE", "state": "optimized geometry", "dos_ef_per_ev_atom": 0.77, "m_tot_mub_per_atom": 0.00, "lattice": [[-0.132, 0.221, 4.863], [-3.230, -3.643, 0.078], [3.641, -3.223, 0.246]], "species": ["Pd", "Be", "As", "As", "As"], "fractional_positions": [[0.000, 0.000, 0.000], [0.500, 0.500, 0.500], [0.000, 0.500, 0.000], [0.000, 0.000, 0.500], [0.500, 0.000, 0.000]]}



B:
{"formula": "BeAs3Pd", "functional": "GGA-PBE", "state": "optimized geometry", "dos_ef_per_ev_atom": 0.50, "m_tot_mub_per_atom": 0.00, "lattice": [[4.440, 0.000, 0.000], [0.000, 4.440, 0.000], [0.000, 0.000, 4.440]], "species": ["Be", "Pd", "As", "As", "As"], "fractional_positions": [[0.000, 0.000, 0.000], [0.500, 0.500, 0.500], [0.000, 0.500, 0.000], [0.000, 0.000, 0.500], [0.500, 0.000, 0.000]]}



Stability, highest: B



A:
{"formula": "BeAsPd3", "functional": "GGA-PBE", "state": "optimized geometry", "dos_ef_per_ev_atom": 0.58, "m_tot_mub_per_atom": 0.00, "lattice": [[4.602, 0.000, 0.000], [0.000, 4.602, 0.000], [0.000, 0.000, 4.602]], "species": ["Be", "Pd", "As", "Pd", "Pd"], "fractional_positions": [[0.500, 0.500, 0.500], [0.000, 0.500, 0.000], [0.000, 0.000, 0.000], [0.000, 0.000, 0.500], [0.500, 0.000, 0.000]]}



B:
{"formula": "BeAsPd3", "functional": "GGA-PBE", "state": "optimized geometry", "dos_ef_per_ev_atom": 0.38, "m_tot_mub_per_atom": 0.00, "lattice": [[-3.523, -0.671, -2.302], [0.212, -4.163, 0.888], [-2.389, 0.620, 3.475]], "species": ["Pd", "Pd", "Pd", "Be", "As"], "fractional_positions": [[0.000, 0.500, 0.000], [0.000, 0.000, 0.500], [0.500, 0.000, 0.000], [0.000, 0.000, 0.000], [0.500, 0.500, 0.500]]}



C:
{"formula": "BeAsPd3", "functional": "GGA-PBE", "state": "optimized geometry", "dos_ef_per_ev_atom": 0.26, "m_tot_mub_per_atom": 0.00, "lattice": [[-3.287, -0.233, -3.260], [4.065, -0.943, -2.118], [-2.110, -6.423, 2.211]], "species": ["Pd", "Pd", "As", "Pd", "Pd", "Be", "Be", "Pd", "Pd", "As"], "fractional_positions": [[0.298, 0.849, 0.628], [0.022, 0.853, 0.990], [0.098, 0.297, 0.740], [0.502, 0.832, 0.237], [0.677, 0.450, 0.620], [0.161, 0.389, 0.073], [0.504, 0.728, 0.899], [0.622, 0.263, 0.993], [0.135, 0.231, 0.368], [0.910, 0.652, 0.330]]}



Stability, highest: C



A:
{"formula": "Be3AsPd", "functional": "GGA-PBE", "state": "optimized geometry", "dos_ef_per_ev_atom": 0.35, "m_tot_mub_per_atom": 0.00, "lattice": [[-2.103, -2.915, 2.252], [1.714, -3.070, -2.373], [3.261, -0.266, 2.700]], "species": ["Pd", "As", "Be", "Be", "Be"], "fractional_positions": [[0.000, 0.000, 0.000], [0.500, 0.500, 0.500], [0.000, 0.000, 0.500], [0.000, 0.500, 0.000], [0.500, 0.000, 0.000]]}



B:
{"formula": "Be3AsPd", "functional": "GGA-PBE", "state": "optimized geometry", "dos_ef_per_ev_atom": 0.39, "m_tot_mub_per_atom": 0.00, "lattice": [[4.193, 0.000, 0.000], [0.000, 4.193, 0.000], [0.000, 0.000, 4.193]], "species": ["Pd", "Be", "Be", "Be", "As"], "fractional_positions": [[0.500, 0.500, 0.500], [0.000, 0.500, 0.000], [0.500, 0.000, 0.000], [0.000, 0.000, 0.500], [0.000, 0.000, 0.000]]}



Stability, highest: A



A:
{"formula": "BeAsPd2", "functional": "GGA-PBE", "state": "optimized geometry", "dos_ef_per_ev_atom": 0.32, "m_tot_mub_per_atom": 0.00, "lattice": [[-2.026, 2.787, 1.539], [-3.068, 1.302, -1.770], [-4.407, -1.882, 2.232]], "species": ["As", "Be", "Pd", "Pd"], "fractional_positions": [[0.499, 0.499, 0.502], [0.669, 0.669, 0.994], [0.063, 0.063, 0.810], [0.269, 0.269, 0.194]]}



B:
{"formula": "BeAsPd2", "functional": "GGA-PBE", "state": "optimized geometry", "dos_ef_per_ev_atom": 0.33, "m_tot_mub_per_atom": 0.00, "lattice": [[4.267, -0.340, -0.363], [2.319, -1.533, 3.275], [1.829, -3.876, -0.292]], "species": ["As", "Pd", "Pd", "Be"], "fractional_positions": [[0.500, 0.500, 0.500], [0.750, 0.750, 0.750], [0.250, 0.250, 0.250], [0.000, 0.000, 0.000]]}



C:
{"formula": "BeAsPd2", "functional": "GGA-PBE", "state": "optimized geometry", "dos_ef_per_ev_atom": 0.54, "m_tot_mub_per_atom": 0.00, "lattice": [[-1.332, -3.322, 1.516], [3.295, -0.398, 2.023], [-2.319, 2.289, 7.963]], "species": ["Be", "Pd", "As", "Pd", "As", "Pd", "Be", "Pd"], "fractional_positions": [[0.500, 0.500, 0.000], [0.131, 0.625, 0.250], [0.750, 0.250, 0.500], [0.875, 0.869, 0.750], [0.000, 0.000, 0.000], [0.375, 0.381, 0.750], [0.250, 0.750, 0.500], [0.619, 0.125, 0.250]]}



Stability, highest: A